Entry 1:
First-principles (GGA-PBE) data for a geometry-optimized Pm2Er9Th structure, as listed in Alexandria via LeMat-Bulk.

```
data_Pm2Er9Th
_cell_length_a 5.0009
_cell_length_b 5.0009
_cell_length_c 15.0062
_cell_angle_alpha 90.00
_cell_angle_beta 90.00
_cell_angle_gamma 90.00
_space_group_name_H-M_alt 'P 4/m m m'
_space_group_IT_number 123
_space_group_name_Hall '-P 4 2'
loop_
_atom_site_label
_atom_site_fract_x
_atom_site_fract_y
_atom_site_fract_z
Pm1 0.0000 0.0000 0.1676
Er1 0.0000 0.5000 0.0000
Er2 0.0000 0.5000 0.3361
Er3 0.5000 0.5000 0.1664
Er4 0.5000 0.5000 0.5000
Th1 0.0000 0.0000 0.5000
```

## Properties
The value obtained for the magnetization is 0.000 μB per atom. As for the formation energy: 0.026 eV/atom.

=====

Entry 2:
First-principles (GGA-PBE) data for a geometry-optimized Pm10Er4Th structure, as listed in Alexandria via LeMat-Bulk.

```
data_Pm10Er4Th
_cell_length_a 9.9631
_cell_length_b 9.9631
_cell_length_c 10.9003
_cell_angle_alpha 90.00
_cell_angle_beta 90.00
_cell_angle_gamma 90.00
_space_group_name_H-M_alt 'I 4/m'
_space_group_IT_number 87
_space_group_name_Hall '-I 4'
loop_
_atom_site_label
_atom_site_fract_x
_atom_site_fract_y
_atom_site_fract_z
Pm1 0.0000 0.5000 0.2500
Pm2 0.1197 0.2237 0.1727
Er1 0.0585 0.2785 0.5000
Th1 0.0000 0.0000 0.0000
```

## Properties
The value obtained for the magnetization is 0.000 μB per atom. As for the formation energy: 0.473 eV/atom.

=====

Entry 3:
First-principles (GGA-PBE) data for a geometry-optimized Pm3ErTh structure, as listed in Alexandria via LeMat-Bulk.

```
data_Pm3ErTh
_cell_length_a 5.4798
_cell_length_b 11.3000
_cell_length_c 11.0526
_cell_angle_alpha 90.00
_cell_angle_beta 90.09
_cell_angle_gamma 90.00
_space_group_name_H-M_alt 'C 1 2/m 1'
_space_group_IT_number 12
_space_group_name_Hall '-C 2y'
loop_
_atom_site_label
_atom_site_fract_x
_atom_site_fract_y
_atom_site_fract_z
Pm1 0.9995 0.0000 0.1688
Pm2 0.0006 0.3481 0.6963
Er1 0.0000 0.3433 0.0000
Th1 0.0000 0.1366 0.5000
```

## Properties
The value obtained for the magnetization is 0.000 μB per atom. As for the formation energy: 0.202 eV/atom. As for the polymorph energy (0 for the lowest one): 0 meV per atom.

=====

Entry 4:
First-principles (GGA-PBE) data for a geometry-optimized PmErThTl structure, as listed in Alexandria via LeMat-Bulk.

```
data_PmErThTl
_cell_length_a 7.7848
_cell_length_b 7.7848
_cell_length_c 7.7848
_cell_angle_alpha 90.00
_cell_angle_beta 90.00
_cell_angle_gamma 90.00
_space_group_name_H-M_alt 'F -4 3 m'
_space_group_IT_number 216
_space_group_name_Hall 'F -4 2 3'
loop_
_atom_site_label
_atom_site_fract_x
_atom_site_fract_y
_atom_site_fract_z
Pm1 0.0000 0.0000 0.0000
Er1 0.0000 0.0000 0.5000
Th1 0.2500 0.2500 0.7500
Tl1 0.2500 0.2500 0.2500
```

## Properties
The value obtained for the magnetization is 0.000 μB per atom. As for the formation energy: 0.060 eV/atom.

=====

Entry 5:
First-principles (GGA-PBE) data for a geometry-optimized Pm6Er3Tm2Th structure, as listed in Alexandria via LeMat-Bulk.

```
data_Pm6Er3Tm2Th
_cell_length_a 6.2101
_cell_length_b 10.7526
_cell_length_c 11.8529
_cell_angle_alpha 90.00
_cell_angle_beta 100.10
_cell_angle_gamma 90.00
_space_group_name_H-M_alt 'C 1 2/m 1'
_space_group_IT_number 12
_space_group_name_Hall '-C 2y'
loop_
_atom_site_label
_atom_site_fract_x
_atom_site_fract_y
_atom_site_fract_z
Pm1 0.2470 0.0000 0.2509
Pm2 0.2484 0.1652 0.7497
Er1 0.0000 0.1669 0.0000
Er2 0.0000 0.5000 0.0000
Tm1 0.0000 0.3332 0.5000
Th1 0.0000 0.0000 0.5000
```

## Properties
The value obtained for the magnetization is 0.000 μB per atom. As for the formation energy: 0.032 eV/atom.

=====

Entry 6:
First-principles (GGA-PBE) data for a geometry-optimized Pm4Er2TmTh structure, as listed in Alexandria via LeMat-Bulk.

```
data_Pm4Er2TmTh
_cell_length_a 5.9831
_cell_length_b 5.9831
_cell_length_c 7.3088
_cell_angle_alpha 90.00
_cell_angle_beta 90.00
_cell_angle_gamma 90.00
_space_group_name_H-M_alt 'P 4/m m m'
_space_group_IT_number 123
_space_group_name_Hall '-P 4 2'
loop_
_atom_site_label
_atom_site_fract_x
_atom_site_fract_y
_atom_site_fract_z
Pm1 0.0000 0.5000 0.2494
Er1 0.0000 0.0000 0.0000
Er2 0.5000 0.5000 0.5000
Tm1 0.0000 0.0000 0.5000
Th1 0.5000 0.5000 0.0000
```

## Properties
The value obtained for the magnetization is 0.000 μB per atom. As for the formation energy: 0.140 eV/atom.

=====

Entry 7:
First-principles (GGA-PBE) data for a geometry-optimized Pm6Er2Tm3Th structure, as listed in Alexandria via LeMat-Bulk.

```
data_Pm6Er2Tm3Th
_cell_length_a 6.2095
_cell_length_b 10.7506
_cell_length_c 11.8355
_cell_angle_alpha 90.00
_cell_angle_beta 100.10
_cell_angle_gamma 90.00
_space_group_name_H-M_alt 'C 1 2/m 1'
_space_group_IT_number 12
_space_group_name_Hall '-C 2y'
loop_
_atom_site_label
_atom_site_fract_x
_atom_site_fract_y
_atom_site_fract_z
Pm1 0.2462 0.0000 0.2498
Pm2 0.2492 0.1652 0.7505
Er1 0.0000 0.3334 0.5000
Tm1 0.0000 0.1669 0.0000
Tm2 0.0000 0.5000 0.0000
Th1 0.0000 0.0000 0.5000
```

## Properties
The value obtained for the magnetization is 0.000 μB per atom. As for the formation energy: 0.034 eV/atom.

=====

Entry 8:
First-principles (GGA-PBE) data for a geometry-optimized PmErTm2Th structure, as listed in Alexandria via LeMat-Bulk.

```
data_PmErTm2Th
_cell_length_a 3.5238
_cell_length_b 5.5748
_cell_length_c 8.6367
_cell_angle_alpha 90.00
_cell_angle_beta 90.00
_cell_angle_gamma 90.00
_space_group_name_H-M_alt 'P m m m'
_space_group_IT_number 47
_space_group_name_Hall '-P 2 2'
loop_
_atom_site_label
_atom_site_fract_x
_atom_site_fract_y
_atom_site_fract_z
Pm1 0.0000 0.0000 0.0000
Er1 0.5000 0.0000 0.5000
Tm1 0.0000 0.5000 0.3220
Th1 0.5000 0.5000 0.0000
```

## Properties
The value obtained for the magnetization is 0.000 μB per atom. As for the formation energy: 0.332 eV/atom.

=====

Entry 9:
First-principles (GGA-PBE) data for a geometry-optimized PmEr5TmTh2 structure, as listed in Alexandria via LeMat-Bulk.

```
data_PmEr5TmTh2
_cell_length_a 8.8301
_cell_length_b 8.8301
_cell_length_c 15.0960
_cell_angle_alpha 90.00
_cell_angle_beta 90.00
_cell_angle_gamma 90.00
_space_group_name_H-M_alt 'I 4/m c m'
_space_group_IT_number 140
_space_group_name_Hall '-I 4 2c'
loop_
_atom_site_label
_atom_site_fract_x
_atom_site_fract_y
_atom_site_fract_z
Pm1 0.0000 0.0000 0.2500
Er1 0.0000 0.0000 0.0000
Er2 0.2082 0.2918 0.1381
Tm1 0.0000 0.5000 0.2500
Th1 0.1187 0.3813 0.5000
```

## Properties
The value obtained for the magnetization is 0.000 μB per atom. As for the formation energy: 0.345 eV/atom.

=====

Entry 10:
First-principles (GGA-PBE) data for a geometry-optimized PmEr2TmTh structure, as listed in Alexandria via LeMat-Bulk.

```
data_PmEr2TmTh
_cell_length_a 3.5251
_cell_length_b 5.5837
_cell_length_c 8.6454
_cell_angle_alpha 90.00
_cell_angle_beta 90.00
_cell_angle_gamma 90.00
_space_group_name_H-M_alt 'P m m m'
_space_group_IT_number 47
_space_group_name_Hall '-P 2 2'
loop_
_atom_site_label
_atom_site_fract_x
_atom_site_fract_y
_atom_site_fract_z
Pm1 0.0000 0.0000 0.0000
Er1 0.0000 0.5000 0.3222
Tm1 0.5000 0.0000 0.5000
Th1 0.5000 0.5000 0.0000
```

## Properties
The value obtained for the magnetization is 0.000 μB per atom. As for the formation energy: 0.335 eV/atom.

=====

Entry 11:
First-principles (GGA-PBE) data for a geometry-optimized Pm5ErTm2Th structure, as listed in Alexandria via LeMat-Bulk.

```
data_Pm5ErTm2Th
_cell_length_a 5.3771
_cell_length_b 21.4785
_cell_length_c 10.5566
_cell_angle_alpha 90.00
_cell_angle_beta 90.00
_cell_angle_gamma 90.00
_space_group_name_H-M_alt 'C m c m'
_space_group_IT_number 63
_space_group_name_Hall '-C 2c 2'
loop_
_atom_site_label
_atom_site_fract_x
_atom_site_fract_y
_atom_site_fract_z
Pm1 0.0000 0.0000 0.0000
Pm2 0.0000 0.1247 0.2500
Pm3 0.0000 0.2213 0.5562
Pm4 0.0000 0.4983 0.7500
Er1 0.0000 0.1015 0.7500
Tm1 0.0000 0.3870 0.0018
Th1 0.0000 0.2872 0.2500
```

## Properties
The value obtained for the magnetization is 0.000 μB per atom. As for the formation energy: 0.145 eV/atom.

=====

Entry 12:
First-principles (GGA-PBE) data for a geometry-optimized Pm6Er2TmTh structure, as listed in Alexandria via LeMat-Bulk.

```
data_Pm6Er2TmTh
_cell_length_a 9.3697
_cell_length_b 15.0064
_cell_length_c 9.5581
_cell_angle_alpha 90.00
_cell_angle_beta 96.55
_cell_angle_gamma 90.00
_space_group_name_H-M_alt 'C 1 2/c 1'
_space_group_IT_number 15
_space_group_name_Hall '-C 2yc'
loop_
_atom_site_label
_atom_site_fract_x
_atom_site_fract_y
_atom_site_fract_z
Pm1 0.0613 0.1740 0.4415
Pm2 0.0939 0.3888 0.6162
Pm3 0.2114 0.2176 0.8111
Er1 0.2501 0.0467 0.0523
Tm1 0.0000 0.4108 0.2500
Th1 0.0000 0.0315 0.7500
```

## Properties
The value obtained for the magnetization is 0.000 μB per atom. As for the formation energy: 0.145 eV/atom.